[1]
First-principles (PBE-GGA) data for a relaxed structure of ReSi2Mo, as listed in Alexandria via LeMat-Bulk.

```
ReSi2Mo
1.0
4.1107 0.0000 0.0000
0.0000 3.1081 0.0000
0.0000 0.0000 8.7638
Re Si Mo
2 4 2
Cartesian
0.0000 0.0000 0.0000
0.0000 1.5541 4.3819
0.0000 0.0000 6.3305
0.0000 1.5541 1.9486
2.0553 0.0000 4.7961
2.0553 1.5541 0.4142
2.0553 0.0000 2.3843
2.0553 1.5541 6.7661
```

Computed properties:
formation energy without anion corrections	-270	meV/atom
final energy	-8.801	eV per atom
space-group type	Amm2, No. 38
density	10.0	g/cm³

[2]
First-principles (PBE-GGA) data for a relaxed structure of Re2Si2Mo, as listed in Alexandria via LeMat-Bulk.

```
Re2Si2Mo
1.0
6.8942 0.0000 0.0000
0.0000 6.8942 0.0000
0.0000 0.0000 2.9766
Re Si Mo
4 4 2
Cartesian
1.0482 2.3990 0.0000
2.3990 5.8461 0.0000
4.4953 1.0482 0.0000
5.8461 4.4953 0.0000
0.9907 4.4378 1.4883
2.4564 0.9907 1.4883
4.4378 5.9035 1.4883
5.9035 2.4564 1.4883
0.0000 0.0000 1.4883
3.4471 3.4471 1.4883
```

Computed properties:
formation energy without anion corrections	-47	meV/atom
final energy	-9.361	eV per atom
space-group type	P4/mbm, No. 127
density	12.3	g/cm³

[3]
First-principles (PBE-GGA) data for a relaxed structure of ReSiMo2, as listed in Alexandria via LeMat-Bulk.

```
ReSiMo2
1.0
2.8274 0.0000 0.0000
-1.4137 2.4486 0.0000
0.0000 0.0000 26.0377
Re Si Mo
3 3 6
Cartesian
0.0000 0.0000 0.0000
0.0000 1.6324 17.3584
1.4137 0.8162 8.6792
0.0000 0.0000 6.6652
0.0000 1.6324 24.0236
1.4137 0.8162 15.3444
0.0000 0.0000 13.2261
0.0000 0.0000 19.5431
0.0000 1.6324 4.5469
0.0000 1.6324 10.8639
1.4137 0.8162 2.1846
1.4137 0.8162 21.9053
```

Computed properties:
formation energy without anion corrections	101	meV/atom
final energy	-9.782	eV per atom
space-group type	R3m, No. 160
density	11.2	g/cm³

[4]
First-principles (PBE-GGA) data for a relaxed structure of ReSi2Mo, as listed in Alexandria via LeMat-Bulk.

```
ReSi2Mo
1.0
3.0014 0.0000 0.0000
0.0000 3.0014 0.0000
0.0000 0.0000 6.1038
Re Si Mo
1 2 1
Cartesian
0.0000 0.0000 0.0000
1.5007 1.5007 1.4445
1.5007 1.5007 4.6593
0.0000 0.0000 3.0519
```

Computed properties:
formation energy without anion corrections	-140	meV/atom
final energy	-8.671	eV per atom
space-group type	P4/mmm, No. 123
density	10.2	g/cm³